ScFeSiTc: relaxed, PBE-GGA.

a b c (Å): 6.170 6.170 6.170
angles (deg): 90.00 90.00 90.00
Space group F-43m (No. 216)
Asymmetric unit:
Sc  0.000  0.000  0.000 x4
Fe  0.000  0.000  0.500 x4
Si  0.250  0.250  0.250 x4
Tc  0.250  0.250  0.750 x4

Values from the calculation:
The crystal system is cubic. For the total magnetic moment, the calculation gives 13.5 μB/cell. Its energy above the lowest structure with this stoichiometry is 24.20 kJ/mol of atoms.